The following is a DFT calculation (PBE) of crystalline Dy3Sb4Pd8 at its relaxed geometry.

The calculation puts the total energy at -674.42 eV/cell.

The space group is Fm-3m (No. 225) and the conventional cell measures 13.263, 13.263 and 13.263 Å, with angles of 90.00, 90.00 and 90.00 degrees. The asymmetric unit holds Dy at (0.000, 0.000, 0.225), Sb at (0.000, 0.000, 0.000), Sb at (0.000, 0.000, 0.500), Sb at (0.000, 0.250, 0.250), Pd at (0.119, 0.119, 0.381) and Pd at (0.167, 0.167, 0.167).


The following is a DFT calculation (PBE) of crystalline Dy2SbPd at its relaxed geometry.

The calculation puts the total energy at -44.72 eV/cell. The value obtained for the distance to the lowest polymorph of the same formula is 0 meV per atom.

The space group is P2_1/m (No. 11) and the conventional cell measures 6.113, 4.308 and 8.225 Å, with angles of 90.00, 111.39 and 90.00 degrees. The asymmetric unit holds Dy at (0.182, 0.250, 0.408), Dy at (0.261, 0.750, 0.057), Sb at (0.385, 0.750, 0.706) and Pd at (0.126, 0.250, 0.794).


The following is a DFT calculation (PBE) of crystalline Dy8Sb2Pd3 at its relaxed geometry.

The calculation puts the total energy at -135.75 eV/cell.

The space group is C2/m (No. 12) and the conventional cell measures 15.852, 7.909 and 6.944 Å, with angles of 90.00, 106.79 and 90.00 degrees. The asymmetric unit holds Dy at (0.092, 0.000, 0.351), Dy at (0.099, 0.500, 0.410), Dy at (0.107, 0.249, 0.903), Sb at (0.249, 0.000, 0.169), Pd at (0.000, 0.237, 0.500) and Pd at (0.000, 0.500, 0.000).


The following is a DFT calculation (PBE) of crystalline DySb2Pd5 at its relaxed geometry.

The calculation puts the total energy at -87.43 eV/cell.

The space group is Immm (No. 71) and the conventional cell measures 4.215, 5.846 and 12.668 Å, with angles of 90.00, 90.00 and 90.00 degrees. The asymmetric unit holds Dy at (0.000, 0.000, 0.000), Sb at (0.000, 0.500, 0.213), Pd at (0.000, 0.244, 0.385) and Pd at (0.000, 0.500, 0.000).


The following is a DFT calculation (PBE) of crystalline Dy3SbPd12 at its relaxed geometry.

The calculation puts the total energy at -92.41 eV/cell.

The space group is P4/mmm (No. 123) and the conventional cell measures 4.112, 4.112 and 16.365 Å, with angles of 90.00, 90.00 and 90.00 degrees. The asymmetric unit holds Dy at (0.000, 0.000, 0.000), Dy at (0.000, 0.000, 0.250), Sb at (0.000, 0.000, 0.500), Pd at (0.000, 0.500, 0.127), Pd at (0.000, 0.500, 0.381), Pd at (0.500, 0.500, 0.000), Pd at (0.500, 0.500, 0.256) and Pd at (0.500, 0.500, 0.500).


The following is a DFT calculation (PBE) of crystalline DySb4Pd15 at its relaxed geometry.

The calculation puts the total energy at -108.46 eV/cell.

The space group is P4/mmm (No. 123) and the conventional cell measures 4.085, 4.085 and 20.178 Å, with angles of 90.00, 90.00 and 90.00 degrees. The asymmetric unit holds Dy at (0.000, 0.000, 0.000), Sb at (0.000, 0.000, 0.200), Sb at (0.000, 0.000, 0.400), Pd at (0.000, 0.500, 0.104), Pd at (0.000, 0.500, 0.302), Pd at (0.000, 0.500, 0.500), Pd at (0.500, 0.500, 0.000), Pd at (0.500, 0.500, 0.204) and Pd at (0.500, 0.500, 0.401).


The following is a DFT calculation (PBE) of crystalline Dy5Sb2Pd at its relaxed geometry.

The calculation puts the total energy at -161.35 eV/cell.

The space group is Cmcm (No. 63) and the conventional cell measures 5.829, 12.078 and 13.838 Å, with angles of 90.00, 90.00 and 90.00 degrees. The asymmetric unit holds Dy at (0.000, 0.064, 0.106), Dy at (0.000, 0.361, 0.750), Dy at (0.000, 0.376, 0.066), Sb at (0.000, 0.193, 0.594) and Pd at (0.000, 0.224, 0.250).


The following is a DFT calculation (PBE) of crystalline Dy4Sb2Pd at its relaxed geometry.

The calculation puts the total energy at -73.60 eV/cell.

The space group is C2/m (No. 12) and the conventional cell measures 15.477, 4.278 and 7.298 Å, with angles of 90.00, 116.88 and 90.00 degrees. The asymmetric unit holds Dy at (0.115, 0.000, 0.434), Dy at (0.118, 0.500, 0.977), Sb at (0.236, 0.500, 0.735) and Pd at (0.000, 0.000, 0.000).


The following is a DFT calculation (PBE) of crystalline DySbPd at its relaxed geometry.

The calculation puts the total energy at -34.29 eV/cell.

The space group is P6_3mc (No. 186) and the conventional cell measures 4.6016, 4.6016 and 7.4170 Å, with angles of 90.00, 90.00 and 120.00 degrees. The asymmetric unit holds Dy at (0.0000, 0.0000, 0.0000), Sb at (0.3333, 0.6667, 0.2725) and Pd at (0.3333, 0.6667, 0.6660).


The following is a DFT calculation (PBE) of crystalline Dy2SbPd at its relaxed geometry.

The calculation puts the total energy at -21.79 eV/cell. The value obtained for the distance to the lowest polymorph of the same formula is 143 meV per atom.

The space group is P4/mmm (No. 123) and the conventional cell measures 5.015, 5.015 and 3.861 Å, with angles of 90.00, 90.00 and 90.00 degrees. The asymmetric unit holds Dy at (0.000, 0.500, 0.000), Sb at (0.000, 0.000, 0.500) and Pd at (0.500, 0.500, 0.500).


The following is a DFT calculation (PBE) of crystalline DySbPd at its relaxed geometry.

The calculation puts the total energy at -69.15 eV/cell.

The space group is F-43m (No. 216) and the conventional cell measures 6.598, 6.598 and 6.598 Å, with angles of 90.00, 90.00 and 90.00 degrees. The asymmetric unit holds Dy at (0.000, 0.000, 0.000), Sb at (0.000, 0.000, 0.500) and Pd at (0.250, 0.250, 0.750).


The following is a DFT calculation (PBE) of crystalline DySb2Pd6 at its relaxed geometry.

The calculation puts the total energy at -48.07 eV/cell.

The space group is P6/mmm (No. 191) and the conventional cell measures 5.5935, 5.5935 and 7.0051 Å, with angles of 90.00, 90.00 and 120.00 degrees. The asymmetric unit holds Dy at (0.0000, 0.0000, 0.0000), Sb at (0.3333, 0.6667, 0.5000) and Pd at (0.0000, 0.5000, 0.1938).